Record 1
Below is a relaxed structure of NaLiCl, with properties calculated at the GGA-PBE level.

Lattice parameters (Å, degrees): 3.697 3.697 6.375 90.00 90.00 120.00
Fractional positions:
Na1 0.000 0.000 0.000
Li1 0.333 0.667 0.516
Cl1 0.667 0.333 0.331

Computed properties:
As for the space group: P3m1 (156). Its crystal system is trigonal. Its energy above the most stable polymorph in this dataset is 0.049 eV per atom. For the uncorrected formation energy, the calculation gives -1.091 eV per atom.

Record 2
Below is a relaxed structure of CaTb2Pu3Te6, with properties calculated at the GGA-PBE level.

Lattice parameters (Å, degrees): 9.897 9.897 8.874 102.68 102.68 25.76
Fractional positions:
Ca1 0.000 0.000 0.000
Tb1 0.332 0.332 0.662
Tb2 0.668 0.668 0.338
Pu1 0.000 0.000 0.500
Pu2 0.333 0.333 0.165
Pu3 0.667 0.667 0.835
Te1 0.167 0.167 0.088
Te2 0.167 0.167 0.583
Te3 0.498 0.498 0.750
Te4 0.502 0.502 0.250
Te5 0.833 0.833 0.417
Te6 0.833 0.833 0.912

Computed properties:
As for the space group: C2/m (12). Its crystal system is monoclinic. For the uncorrected formation energy, the calculation gives -1.250 eV per atom.

Record 3
Below is a relaxed structure of Ti2NiAs2, with properties calculated at the GGA-PBE level.

Lattice parameters (Å, degrees): 5.819 5.819 5.819 136.45 136.45 63.28
Fractional positions:
Ti1 0.250 0.750 0.500
Ti2 0.750 0.250 0.500
Ni1 0.000 0.000 0.000
As1 0.378 0.378 0.000
As2 0.622 0.622 0.000

Computed properties:
As for the space group: I4/mmm (139). For the formation energy, the calculation gives -0.064 eV/atom. Its crystal system is tetragonal.

Record 4
Below is a relaxed structure of ZnSb2TeW, with properties calculated at the GGA-PBE level.

Lattice parameters (Å, degrees): 5.322 5.322 5.264 90.00 90.00 90.00
Fractional positions:
Zn1 0.000 0.000 0.000
Sb1 0.000 0.500 0.500
Sb2 0.500 0.000 0.500
Te1 0.500 0.500 0.000
W1 0.500 0.500 0.500

Computed properties:
As for the space group: P4/mmm (123). Its crystal system is tetragonal. Its energy above the most stable polymorph in this dataset is 0.000 eV per atom. For the uncorrected formation energy, the calculation gives 0.672 eV per atom.

Record 5
Below is a relaxed structure of TaCoIr, with properties calculated at the GGA-PBE level.

Lattice parameters (Å, degrees): 4.798 4.798 4.710 100.44 100.44 120.35
Fractional positions:
Ta1 0.000 0.000 0.000
Ta2 0.789 0.211 0.500
Co1 0.141 0.859 0.500
Co2 0.465 0.535 0.500
Ir1 0.323 0.677 0.000
Ir2 0.646 0.354 0.000

Computed properties:
As for the space group: C2 (5). For the formation energy, the calculation gives -0.294 eV/atom. Its crystal system is monoclinic. Its energy above the most stable polymorph in this dataset is 0.176 eV per atom.

Record 6
Below is a relaxed structure of NpSi3Ru5, with properties calculated at the GGA-PBE level.

Lattice parameters (Å, degrees): 6.801 6.801 14.074 90.00 90.00 155.22
Fractional positions:
Np1 0.150 0.850 0.750
Np2 0.850 0.150 0.250
Si1 0.143 0.857 0.250
Si2 0.367 0.633 0.053
Si3 0.367 0.633 0.447
Si4 0.633 0.367 0.553
Si5 0.633 0.367 0.947
Si6 0.857 0.143 0.750
Ru1 0.000 0.000 0.000
Ru2 0.000 0.000 0.500
Ru3 0.194 0.806 0.081
Ru4 0.194 0.806 0.419
Ru5 0.470 0.530 0.655
Ru6 0.470 0.530 0.845
Ru7 0.530 0.470 0.155
Ru8 0.530 0.470 0.345
Ru9 0.806 0.194 0.581
Ru10 0.806 0.194 0.919

Computed properties:
As for the space group: Cmcm (63). Its crystal system is orthorhombic. For the uncorrected formation energy, the calculation gives -0.299 eV per atom.

Record 7
Below is a relaxed structure of CoSb2PdI, with properties calculated at the GGA-PBE level.

Lattice parameters (Å, degrees): 4.804 4.804 5.440 90.00 90.00 90.00
Fractional positions:
Co1 0.000 0.000 0.000
Sb1 0.000 0.500 0.000
Sb2 0.500 0.000 0.000
Pd1 0.500 0.500 0.500
I1 0.000 0.000 0.500

Computed properties:
As for the space group: P4/mmm (123). Its crystal system is tetragonal. Its energy above the most stable polymorph in this dataset is 0.000 eV per atom. For the uncorrected formation energy, the calculation gives 0.505 eV per atom.

Record 8
Below is a relaxed structure of Sr3Se, with properties calculated at the GGA-PBE level.

Lattice parameters (Å, degrees): 3.933 3.933 10.480 90.00 90.00 90.00
Fractional positions:
Sr1 0.000 0.000 0.000
Sr2 0.500 0.500 0.325
Sr3 0.500 0.500 0.675
Se1 0.000 0.000 0.500

Computed properties:
As for the space group: P4/mmm (123). Its crystal system is tetragonal. Its energy above the most stable polymorph in this dataset is 0.056 eV per atom. For the uncorrected formation energy, the calculation gives -0.854 eV per atom.